Hf2PF | PBE | optimized geometry

Cell and atoms, written as CIF:
```
data_Hf2PF
_chemical_formula_sum 'Hf8 P4 F4'
_cell_length_a 6.543
_cell_length_b 6.543
_cell_length_c 6.151
_cell_angle_alpha 90.00
_cell_angle_beta 90.00
_cell_angle_gamma 90.00
_space_group_name_H-M_alt 'I -4 2 d'
_space_group_IT_number 122
_space_group_name_Hall 'I -4 2bw'
loop_
_atom_site_label
_atom_site_fract_x
_atom_site_fract_y
_atom_site_fract_z
Hf1 0.189 0.250 0.125
P1 0.000 0.000 0.500
F1 0.000 0.000 0.000
```

Calculated values
Total energy (eV per atom): -7.935
V (Å³ per cell): 263.4
Formation energy from raw total energies (eV per formula unit): -4.55
E above lowest polymorph (kJ/mol of formula units): 13.4
Density (Mg/m³): 10.26